Here is Pm4In2C after structural relaxation from the Alexandria database. Energies are from PBE.

Crystal system ... tetragonal
Symmetry ... I4/mmm (139)
Formation energy ... -0.30 eV/atom
Mass density ... 6.691 g/cm³

Lattice parameters (Å, degrees): 5.146 5.146 8.518 107.58 107.58 90.00
Sites, in units of the cell vectors:
C: 0.000 0.000 0.000
In: 0.629 0.629 0.257
In: 0.371 0.371 0.743
Pm: 0.837 0.837 0.673
Pm: 0.163 0.163 0.327
Pm: 0.000 0.500 0.000
Pm: 0.500 0.000 0.000